(1)
A plane-wave DFT calculation with PBE was carried out for crystalline LaMnTl2 at its relaxed geometry.

DFT formation energy	1.983	kcal/mol of atoms
E	-4.62	eV per atom

a b c (Å): 3.434 4.727 6.677
angles (deg): 90.00 102.16 90.00
Space group P2/m (No. 10)
One atom of each set of equivalent atoms:
La (0.000, 0.000, 0.000) (multiplicity 1)
Mn (0.500, 0.000, 0.500) (multiplicity 1)
Tl (0.351, 0.500, 0.719) (multiplicity 2)

***

(2)
A plane-wave DFT calculation with PBE was carried out for crystalline BeAgMo2 at its relaxed geometry.

DFT formation energy	9.215	kcal/mol of atoms
E	-6.66	eV per atom

a b c (Å): 5.112 8.651 2.680
angles (deg): 90.00 90.51 90.00
Space group C2/m (No. 12)
One atom of each set of equivalent atoms:
Be (0.000, 0.000, 0.000) (multiplicity 2)
Ag (0.000, 0.500, 0.000) (multiplicity 2)
Mo (0.250, 0.250, 0.500) (multiplicity 4)

***

(3)
A plane-wave DFT calculation with PBE was carried out for crystalline Mn2GaAu at its relaxed geometry.

DFT formation energy	-0.027	kcal/mol of atoms
E	-6.16	eV per atom

a b c (Å): 2.824 2.824 7.497
angles (deg): 90.00 90.00 90.00
Space group P4/mmm (No. 123)
One atom of each set of equivalent atoms:
Mn (0.000, 0.000, 0.234) (multiplicity 2)
Ga (0.500, 0.500, 0.000) (multiplicity 1)
Au (0.500, 0.500, 0.500) (multiplicity 1)